1.
Computed, not measured: a relaxed TbDyAl3Si2 crystal at the PBE-GGA level of DFT.

Cell: 10.1968 4.0546 6.6225 Å, 90.00 101.13 90.00°
Sites, in units of the cell vectors:
Tb 0.0000 0.0000 0.0000
Tb 0.5000 0.5000 0.0000
Dy 0.2607 0.5000 0.3553
Dy 0.7607 0.0000 0.3553
Al 0.0752 0.0000 0.5439
Al 0.1856 0.5000 0.8106
Al 0.3800 0.0000 0.6772
Al 0.5752 0.5000 0.5439
Al 0.6856 0.0000 0.8106
Al 0.8800 0.5000 0.6772
Si 0.2877 0.0000 0.0373
Si 0.4729 0.0000 0.3187
Si 0.7877 0.5000 0.0373
Si 0.9729 0.5000 0.3187

Summary:
For the final energy, the calculation gives -70.34 eV for the cell shown. Its size of the total moment is 0.00 μB per atom. The crystal system is monoclinic.


2.
Computed, not measured: a relaxed LaLuAs crystal at the PBE-GGA level of DFT.

Cell: 6.9489 6.9489 6.9489 Å, 90.00 90.00 90.00°
Sites, in units of the cell vectors:
La 0.0000 0.0000 0.0000
La 0.0000 0.5000 0.5000
La 0.5000 0.0000 0.5000
La 0.5000 0.5000 0.0000
Lu 0.0000 0.0000 0.5000
Lu 0.0000 0.5000 0.0000
Lu 0.5000 0.0000 0.0000
Lu 0.5000 0.5000 0.5000
As 0.2500 0.2500 0.2500
As 0.2500 0.7500 0.7500
As 0.7500 0.2500 0.7500
As 0.7500 0.7500 0.2500

Summary:
For the energy above the most stable polymorph in this dataset, the calculation gives 0 meV/atom. Its size of the total moment is 0.00 μB per atom. The crystal system is cubic.


3.
Computed, not measured: a relaxed ErSiPt crystal at the PBE-GGA level of DFT.

Cell: 6.7170 6.7170 4.1574 Å, 90.00 90.00 120.00°
Sites, in units of the cell vectors:
Er 0.0000 0.5743 0.0000
Er 0.4257 0.4257 0.0000
Er 0.5743 0.0000 0.0000
Si 0.0000 0.0000 0.0000
Si 0.3333 0.6667 0.5000
Si 0.6667 0.3333 0.5000
Pt 0.0000 0.2477 0.5000
Pt 0.2477 0.0000 0.5000
Pt 0.7523 0.7523 0.5000

Summary:
For the final energy, the calculation gives -58.19 eV for the cell shown. Its size of the total moment is 0.00 μB per atom. The crystal system is hexagonal.


4.
Computed, not measured: a relaxed Gd3NiSn3Pt2 crystal at the PBE-GGA level of DFT.

Cell: 7.5328 7.5328 3.9657 Å, 90.00 90.00 120.00°
Sites, in units of the cell vectors:
Gd 0.0000 0.4069 0.0000
Gd 0.4069 0.0000 0.0000
Gd 0.5931 0.5931 0.0000
Ni 0.0000 0.0000 0.0000
Sn 0.0000 0.7534 0.5000
Sn 0.2466 0.2466 0.5000
Sn 0.7534 0.0000 0.5000
Pt 0.3333 0.6667 0.5000
Pt 0.6667 0.3333 0.5000

Summary:
For the final energy, the calculation gives -52.48 eV for the cell shown. Its size of the total moment is 0.00 μB per atom. The crystal system is hexagonal.


5.
Computed, not measured: a relaxed Nb3SIBr6 crystal at the PBE-GGA level of DFT.

Cell: 7.2878 7.2878 6.7560 Å, 90.00 90.00 120.00°
Sites, in units of the cell vectors:
Nb 0.2001 0.4002 0.0000
Nb 0.2001 0.7999 0.0000
Nb 0.5998 0.7999 0.0000
S 0.3333 0.6667 0.7419
I 0.0000 0.0000 0.2365
Br 0.0019 0.5009 0.2528
Br 0.3350 0.1675 0.7911
Br 0.4991 0.5009 0.2528
Br 0.4991 0.9981 0.2528
Br 0.8325 0.1675 0.7911
Br 0.8325 0.6650 0.7911

Summary:
For the final energy, the calculation gives -56.15 eV for the cell shown. Its size of the total moment is 0.00 μB per atom. The crystal system is trigonal.


6.
Computed, not measured: a relaxed Nb2Se crystal at the PBE-GGA level of DFT.

Cell: 5.4733 5.4733 5.4733 Å, 60.00 60.00 60.00°
Sites, in units of the cell vectors:
Nb 0.0000 0.0000 0.0000
Nb 0.0000 0.0000 0.5000
Nb 0.0000 0.5000 0.0000
Nb 0.5000 0.0000 0.0000
Se 0.3750 0.3750 0.3750
Se 0.6250 0.6250 0.6250

Summary:
For the final energy, the calculation gives -44.74 eV for the cell shown. Its size of the total moment is 0.00 μB per atom. The crystal system is cubic.